(one)
Computed, not measured: crystalline Ac2YEr at its relaxed geometry at the PBE-GGA level of DFT.

For the total magnetization, the calculation gives 0.00 μB/cell.

Cell: 5.485 5.485 4.993 Å, 90.00 90.00 90.00°
Element x y z (fractional)
Ac: 0.000 0.500 0.000
Ac: 0.500 0.000 0.000
Y: 0.000 0.000 0.500
Er: 0.500 0.500 0.500


(two)
Computed, not measured: crystalline Ac2YEr at its relaxed geometry at the PBE-GGA level of DFT.

For the total magnetization, the calculation gives 0.00 μB/cell.

Cell: 12.256 12.256 12.256 Å, 17.83 17.83 17.83°
Element x y z (fractional)
Ac: 0.000 0.000 0.000
Ac: 0.168 0.168 0.168
Y: 0.416 0.416 0.416
Er: 0.585 0.585 0.585


Relative to the most stable structure, the computed energies are (one) 0; (two) 27, all in meV per atom.


(one)
Computed, not measured: crystalline Ac2YEr at its relaxed geometry at the PBE-GGA level of DFT.

For the total magnetization, the calculation gives 0.00 μB/cell.

Cell: 3.902 3.902 9.874 Å, 90.00 90.00 90.00°
Element x y z (fractional)
Ac: 0.000 0.000 0.247
Ac: 0.000 0.000 0.753
Y: 0.500 0.500 0.500
Er: 0.500 0.500 0.000


(two)
Computed, not measured: crystalline Ac2YEr at its relaxed geometry at the PBE-GGA level of DFT.

For the total magnetization, the calculation gives 0.00 μB/cell.

Cell: 12.746 12.746 13.462 Å, 90.02 90.02 145.94°
Element x y z (fractional)
Ac: 0.022 0.978 0.750
Ac: 0.023 0.477 0.751
Ac: 0.248 0.249 0.000
Ac: 0.249 0.248 0.500
Ac: 0.249 0.750 0.001
Ac: 0.250 0.751 0.499
Ac: 0.476 0.524 0.250
Ac: 0.477 0.023 0.251
Ac: 0.523 0.977 0.749
Ac: 0.524 0.476 0.750
Ac: 0.750 0.249 0.501
Ac: 0.751 0.250 0.999
Ac: 0.751 0.752 0.500
Ac: 0.752 0.751 0.000
Ac: 0.977 0.523 0.249
Ac: 0.978 0.022 0.250
Y: 0.113 0.384 0.385
Y: 0.384 0.113 0.885
Y: 0.385 0.613 0.887
Y: 0.387 0.615 0.613
Y: 0.613 0.385 0.387
Y: 0.615 0.387 0.113
Y: 0.616 0.887 0.115
Y: 0.887 0.616 0.615
Er: 0.114 0.385 0.112
Er: 0.114 0.885 0.113
Er: 0.115 0.886 0.387
Er: 0.385 0.114 0.612
Er: 0.615 0.886 0.388
Er: 0.885 0.114 0.613
Er: 0.886 0.115 0.887
Er: 0.886 0.615 0.888


Relative to the most stable structure, the computed energies are (one) 0; (two) 84, all in meV per atom.